Computed, not measured: a geometry-optimized ZrPd structure at the PBE level of DFT.

The value obtained for the electronic total energy is -7.41 eV/atom. Its space group is Pmc2_1, No. 26. The value obtained for the total magnetization is 0.00 μB/f.u. For the energy relative to the elements, the calculation gives -0.548 eV per atom. Its volume is 224.66 Å³ per cell.

Lattice parameters (Å, degrees): 4.8896 9.2721 4.9552 90.00 90.00 90.00
Closest atoms and distances in Å follow each position.
Sites, in units of the cell vectors:
Zr 0.0000 0.0600 0.0000  2 Zr 2.72, 2 Pd 2.86
Zr 0.0000 0.2801 0.4935  7 Pd 2.73-2.96
Zr 0.0000 0.7199 0.9935  7 Pd 2.73-2.96
Zr 0.0000 0.9400 0.5000  2 Zr 2.72, 2 Pd 2.86
Zr 0.5000 0.2673 0.9814  7 Pd 2.77-2.93
Zr 0.5000 0.7327 0.4814  7 Pd 2.77-2.93
Pd 0.0000 0.4065 0.9963  5 Zr 2.73-2.91, 4 Pd 2.93-3.02
Pd 0.0000 0.5935 0.4963  5 Zr 2.73-2.91, 4 Pd 2.93-3.02
Pd 0.5000 0.1002 0.4805  6 Zr 2.86-2.96, 3 Pd 2.96-3.10
Pd 0.5000 0.4193 0.4771  5 Zr 2.77-2.91, 5 Pd 2.89-2.96
Pd 0.5000 0.5807 0.9771  5 Zr 2.77-2.91, 5 Pd 2.89-2.96
Pd 0.5000 0.8998 0.9805  6 Zr 2.86-2.96, 3 Pd 2.96-3.10